(1)
Entry from the Alexandria database: a relaxed structure of Tl3InN (GGA-PBE).

Summary:
E_form (uncorrected)   634 meV/atom
Energy above the most stable polymorph in this dataset   0 meV per atom

Cell lengths 5.0584, 5.0584, 5.0584 Å; angles 90.00, 90.00, 90.00 degrees
Sites, in units of the cell vectors:
Tl1 0.0000 0.0000 0.5000
Tl2 0.0000 0.5000 0.0000
Tl3 0.5000 0.0000 0.0000
In1 0.5000 0.5000 0.5000
N1 0.0000 0.0000 0.0000


(2)
Entry from the Alexandria database: a relaxed structure of ScTc2Sb (GGA-PBE).

Summary:
E_form (uncorrected)   61 meV/atom

Cell lengths 6.5271, 6.5271, 6.5271 Å; angles 90.00, 90.00, 90.00 degrees
Sites, in units of the cell vectors:
Sc1 0.0000 0.0000 0.0000
Sc2 0.0000 0.5000 0.5000
Sc3 0.5000 0.0000 0.5000
Sc4 0.5000 0.5000 0.0000
Tc1 0.0000 0.0000 0.5000
Tc2 0.0000 0.5000 0.0000
Tc3 0.2500 0.2500 0.2500
Tc4 0.2500 0.7500 0.7500
Tc5 0.5000 0.0000 0.0000
Tc6 0.5000 0.5000 0.5000
Tc7 0.7500 0.2500 0.7500
Tc8 0.7500 0.7500 0.2500
Sb1 0.2500 0.2500 0.7500
Sb2 0.2500 0.7500 0.2500
Sb3 0.7500 0.2500 0.2500
Sb4 0.7500 0.7500 0.7500


(3)
Entry from the Alexandria database: a relaxed structure of Tb12Sm2Sc (GGA-PBE).

Summary:
Formation energy   0.12 eV per atom

Cell lengths 6.6622, 6.6622, 24.5067 Å; angles 94.07, 94.07, 116.50 degrees
Sites, in units of the cell vectors:
Tb1 0.0311 0.4813 0.3039
Tb2 0.0447 0.5412 0.8279
Tb3 0.1440 0.6580 0.0559
Tb4 0.1629 0.6991 0.5662
Tb5 0.1655 0.1655 0.0688
Tb6 0.1890 0.1890 0.6461
Tb7 0.3009 0.8371 0.4338
Tb8 0.3420 0.8560 0.9441
Tb9 0.3428 0.3428 0.3866
Tb10 0.3428 0.3428 0.9204
Tb11 0.4588 0.9553 0.1721
Tb12 0.4813 0.0311 0.3039
Tb13 0.5187 0.9689 0.6961
Tb14 0.5412 0.0447 0.8279
Tb15 0.6572 0.6572 0.0796
Tb16 0.6572 0.6572 0.6134
Tb17 0.6580 0.1440 0.0559
Tb18 0.6991 0.1629 0.5662
Tb19 0.8110 0.8110 0.3539
Tb20 0.8345 0.8345 0.9312
Tb21 0.8371 0.3009 0.4338
Tb22 0.8560 0.3420 0.9441
Tb23 0.9553 0.4588 0.1721
Tb24 0.9689 0.5187 0.6961
Sm1 0.0169 0.0169 0.7777
Sm2 0.4796 0.4796 0.2279
Sm3 0.5204 0.5204 0.7721
Sm4 0.9831 0.9831 0.2223
Sc1 0.2476 0.2476 0.5150
Sc2 0.7524 0.7524 0.4850


In eV per atom, the final energy values for the records above are, in order, -2.999, -7.736, -4.633.